Entry 1:
The following is a GGA+U calculation of crystalline DyCr2SbO8 at its relaxed geometry, from the Alexandria database.

Space-group type ... C2/m, No. 12
Crystal system ... monoclinic
Raw total energy ... -7.144 eV/atom

Structure (CIF):
```
data_DyCr2SbO8
_chemical_formula_sum 'Dy1 Cr2 Sb1 O8'
_space_group_name_H-M_alt 'P 1'
_space_group_IT_number 1
_cell_length_a 4.714
_cell_length_b 4.713
_cell_length_c 6.388
_cell_angle_alpha 91.00
_cell_angle_beta 91.00
_cell_angle_gamma 88.49
loop_
_space_group_symop_operation_xyz
'x,y,z'
loop_
_atom_site_label
_atom_site_type_symbol
_atom_site_fract_x
_atom_site_fract_y
_atom_site_fract_z
O1 O 0.795 0.208 0.772
O2 O 0.329 0.329 0.512
O3 O 0.205 0.792 0.228
O4 O 0.208 0.795 0.772
O5 O 0.308 0.308 0.005
O6 O 0.671 0.671 0.488
O7 O 0.792 0.205 0.228
O8 O 0.692 0.692 0.995
Sb1 Sb 0.000 0.000 0.000
Dy1 Dy 0.000 0.000 0.500
Cr1 Cr 0.498 0.497 0.752
Cr2 Cr 0.502 0.503 0.248
```

Entry 2:
The following is a GGA+U calculation of crystalline DyCr2SbO6 at its relaxed geometry, from the Alexandria database.

Space-group type ... R3, No. 146
Crystal system ... trigonal
Raw total energy ... -7.483 eV/atom

Structure (CIF):
```
data_DyCr2SbO6
_chemical_formula_sum 'Dy1 Cr2 Sb1 O6'
_space_group_name_H-M_alt 'P 1'
_space_group_IT_number 1
_cell_length_a 5.520
_cell_length_b 5.520
_cell_length_c 5.545
_cell_angle_alpha 60.15
_cell_angle_beta 60.15
_cell_angle_gamma 60.00
loop_
_space_group_symop_operation_xyz
'x,y,z'
loop_
_atom_site_label
_atom_site_type_symbol
_atom_site_fract_x
_atom_site_fract_y
_atom_site_fract_z
Sb1 Sb 0.300 0.301 0.098
O1 O 0.365 0.725 0.742
O2 O 0.241 0.851 0.227
O3 O 0.168 0.365 0.742
O4 O 0.725 0.168 0.742
O5 O 0.851 0.682 0.227
O6 O 0.682 0.241 0.227
Dy1 Dy 0.794 0.794 0.619
Cr1 Cr 0.520 0.520 0.441
Cr2 Cr 0.016 0.016 0.951
```

Entry 3:
The following is a GGA+U calculation of crystalline DyScCr2O8 at its relaxed geometry, from the Alexandria database.

Space-group type ... I-4m2, No. 119
Crystal system ... tetragonal
Raw total energy ... -7.707 eV/atom
Density of states at the Fermi level ... 1.34 states/eV per cell

Structure (CIF):
```
data_DyScCr2O8
_chemical_formula_sum 'Dy1 Sc1 Cr2 O8'
_space_group_name_H-M_alt 'P 1'
_space_group_IT_number 1
_cell_length_a 5.875
_cell_length_b 5.875
_cell_length_c 5.875
_cell_angle_alpha 106.14
_cell_angle_beta 106.14
_cell_angle_gamma 116.37
loop_
_space_group_symop_operation_xyz
'x,y,z'
loop_
_atom_site_label
_atom_site_type_symbol
_atom_site_fract_x
_atom_site_fract_y
_atom_site_fract_z
O1 O 0.924 0.615 0.691
O2 O 0.767 0.076 0.691
O3 O 0.924 0.233 0.309
O4 O 0.317 0.499 0.182
O5 O 0.317 0.135 0.818
O6 O 0.385 0.076 0.309
O7 O 0.501 0.683 0.818
O8 O 0.865 0.683 0.182
Cr1 Cr 0.750 0.250 0.500
Cr2 Cr 0.500 0.500 0.000
Sc1 Sc 0.000 0.000 0.000
Dy1 Dy 0.250 0.750 0.500
```

Entry 4:
The following is a GGA+U calculation of crystalline Dy2CrSiO6 at its relaxed geometry, from the Alexandria database.

Space-group type ... P4mm, No. 99
Crystal system ... tetragonal
Raw total energy ... -7.948 eV/atom

Structure (CIF):
```
data_Dy2CrSiO6
_chemical_formula_sum 'Dy2 Cr1 Si1 O6'
_space_group_name_H-M_alt 'P 1'
_space_group_IT_number 1
_cell_length_a 4.721
_cell_length_b 5.119
_cell_length_c 5.119
_cell_angle_alpha 90.00
_cell_angle_beta 90.00
_cell_angle_gamma 90.00
loop_
_space_group_symop_operation_xyz
'x,y,z'
loop_
_atom_site_label
_atom_site_type_symbol
_atom_site_fract_x
_atom_site_fract_y
_atom_site_fract_z
O1 O 0.244 0.000 0.000
O2 O 0.715 0.229 0.229
O3 O 0.136 0.500 0.500
O4 O 0.715 0.229 0.771
O5 O 0.715 0.771 0.229
O6 O 0.715 0.771 0.771
Dy1 Dy 0.009 0.500 0.000
Dy2 Dy 0.009 0.000 0.500
Si1 Si 0.599 0.000 0.000
Cr1 Cr 0.590 0.500 0.500
```

Calculated size of the total moment (μB/cell), listed in the same order as above: 3.99, 6.00, 2.00, 4.00